Entry 1:
Computed, not measured: a relaxed structure of MgNb2Cl at the PBE level of DFT.

Magnetization (μB/f.u.): 0.000
DFT total energy (eV per atom): -5.10

Unit cell a=4.6887 b=4.6887 c=4.6887 alpha=60.00 beta=60.00 gamma=60.00
Last column: nearest neighbours and their distance in Å.
Element x y z (fractional)
Mg 0.0000 0.0000 0.0000  8 Nb 2.87
Nb 0.2500 0.2500 0.2500  4 Cl 2.87, 4 Mg 2.87
Nb 0.7500 0.7500 0.7500  4 Cl 2.87, 4 Mg 2.87
Cl 0.5000 0.5000 0.5000  8 Nb 2.87



Entry 2:
Computed, not measured: a relaxed structure of Cs2Sn2HAu2 at the PBE level of DFT.

Magnetization (μB/f.u.): 0.000
DFT total energy (eV per atom): -2.98

Unit cell a=7.0962 b=7.0962 c=8.9268 alpha=124.62 beta=124.62 gamma=42.08
Last column: nearest neighbours and their distance in Å.
Element x y z (fractional)
Cs 0.0598 0.0598 0.3280  2 H 3.59, 2 Au 3.76-3.99, 1 Sn 4.01
Cs 0.9402 0.9402 0.6720  2 H 3.59, 2 Au 3.76-3.99, 1 Sn 4.01
Sn 0.3114 0.3114 0.9040  1 H 2.09
Sn 0.6886 0.6886 0.0960  1 H 2.09
H 0.5000 0.5000 0.0000  2 Sn 2.09
Au 0.2753 0.2753 0.1859  3 Sn 2.71-2.83
Au 0.7247 0.7247 0.8141  3 Sn 2.71-2.83



Entry 3:
Computed, not measured: a relaxed structure of Cs2NbRh at the PBE level of DFT.

DFT formation energy (meV per atom): 1774
Magnetization (μB/f.u.): 4.000
DFT total energy (eV per atom): -3.01

Unit cell a=5.7995 b=5.7995 c=5.7995 alpha=60.00 beta=60.00 gamma=60.00
Last column: nearest neighbours and their distance in Å.
Element x y z (fractional)
Cs 0.2500 0.2500 0.2500  4 Nb 3.55, 4 Rh 3.55
Cs 0.7500 0.7500 0.7500  4 Nb 3.55, 4 Rh 3.55
Nb 0.0000 0.0000 0.0000  8 Cs 3.55
Rh 0.5000 0.5000 0.5000  8 Cs 3.55



Entry 4:
Computed, not measured: a relaxed structure of HfNi2Au at the PBE level of DFT.

DFT formation energy (meV per atom): 21
Magnetization (μB/f.u.): 0.000
DFT total energy (eV per atom): -6.18

Unit cell a=5.5955 b=5.5955 c=5.5955 alpha=103.83 beta=103.83 gamma=121.46
Last column: nearest neighbours and their distance in Å.
Element x y z (fractional)
Hf 0.0000 0.0000 0.0000  4 Ni 2.52, 2 Au 2.74
Hf 0.7500 0.2500 0.5000  4 Ni 2.52, 2 Au 2.74
Ni 0.1221 0.6250 0.9971  2 Hf 2.52, 2 Au 2.55, 2 Ni 2.74
Ni 0.3750 0.3721 0.4971  2 Hf 2.52, 2 Au 2.55, 2 Ni 2.74
Ni 0.6279 0.1250 0.0029  2 Hf 2.52, 2 Au 2.55, 2 Ni 2.74
Ni 0.8750 0.8779 0.5029  2 Hf 2.52, 2 Au 2.55, 2 Ni 2.74
Au 0.2500 0.7500 0.5000  4 Ni 2.55, 2 Hf 2.74
Au 0.5000 0.5000 0.0000  4 Ni 2.55, 2 Hf 2.74



Entry 5:
Computed, not measured: a relaxed structure of Re2Hg at the PBE level of DFT.

DFT formation energy (meV per atom): 1252
Magnetization (μB/f.u.): 0.000
DFT total energy (eV per atom): -7.15

Unit cell a=8.7042 b=8.7042 c=8.7042 alpha=155.16 beta=155.16 gamma=35.41
Last column: nearest neighbours and their distance in Å.
Element x y z (fractional)
Re 0.2950 0.5450 0.7500  3 Re 2.39-2.65
Re 0.4550 0.7050 0.7500  3 Re 2.39-2.65
Re 0.5450 0.2950 0.2500  3 Re 2.39-2.65
Re 0.7050 0.4550 0.2500  3 Re 2.39-2.65
Hg 0.1250 0.8750 0.2500  8 Re 2.96
Hg 0.8750 0.1250 0.7500  8 Re 2.96



Entry 6:
Computed, not measured: a relaxed structure of Er2In2BRh4 at the PBE level of DFT.

DFT formation energy (meV per atom): -541
Magnetization (μB/f.u.): 0.000
DFT total energy (eV per atom): -6.17

Unit cell a=6.0384 b=6.0384 c=6.0384 alpha=118.80 beta=118.80 gamma=92.10
Last column: nearest neighbours and their distance in Å.
Element x y z (fractional)
Er 0.2032 0.2032 0.0000  1 B 2.49
Er 0.7968 0.7968 0.0000  1 B 2.49
In 0.2500 0.7500 0.5000  8 Rh 3.02, 4 Er 3.10
In 0.7500 0.2500 0.5000  8 Rh 3.02, 4 Er 3.10
B 0.5000 0.5000 0.0000  4 Rh 2.08
Rh 0.2611 0.2611 0.5223  1 B 2.08
Rh 0.2611 0.7389 0.0000  1 B 2.08
Rh 0.7389 0.2611 0.0000  1 B 2.08
Rh 0.7389 0.7389 0.4777  1 B 2.08



Entry 7:
Computed, not measured: a relaxed structure of CeFe4Si2 at the PBE level of DFT.

Magnetization (μB/f.u.): 2.867
DFT total energy (eV per atom): -7.63

Unit cell a=7.1664 b=7.1664 c=3.7117 alpha=90.00 beta=90.00 gamma=90.00
Last column: nearest neighbours and their distance in Å.
Element x y z (fractional)
Ce 0.0000 0.0000 0.0000  6 Si 2.83-2.91
Ce 0.5000 0.5000 0.5000  6 Si 2.83-2.91
Fe 0.0823 0.3540 0.5000  3 Si 2.37-2.39, 5 Fe 2.40-2.52
Fe 0.1460 0.5823 0.0000  3 Si 2.37-2.39, 5 Fe 2.40-2.52
Fe 0.3540 0.0823 0.5000  3 Si 2.37-2.39, 5 Fe 2.40-2.52
Fe 0.4177 0.8540 0.0000  3 Si 2.37-2.39, 5 Fe 2.40-2.52
Fe 0.5823 0.1460 0.0000  3 Si 2.37-2.39, 5 Fe 2.40-2.52
Fe 0.6460 0.9177 0.5000  3 Si 2.37-2.39, 5 Fe 2.40-2.52
Fe 0.8540 0.4177 0.0000  3 Si 2.37-2.39, 5 Fe 2.40-2.52
Fe 0.9177 0.6460 0.5000  3 Si 2.37-2.39, 5 Fe 2.40-2.52
Si 0.2209 0.7791 0.5000  6 Fe 2.37-2.39
Si 0.2791 0.2791 0.0000  6 Fe 2.37-2.39
Si 0.7209 0.7209 0.0000  6 Fe 2.37-2.39
Si 0.7791 0.2209 0.5000  6 Fe 2.37-2.39



Entry 8:
Computed, not measured: a relaxed structure of LaMg2Te at the PBE level of DFT.

Magnetization (μB/f.u.): 0.000
DFT total energy (eV per atom): -3.21

Unit cell a=7.0315 b=7.0315 c=7.0315 alpha=101.57 beta=101.57 gamma=126.79
Last column: nearest neighbours and their distance in Å.
Element x y z (fractional)
La 0.0000 0.0000 0.0000  2 Te 3.15, 4 Mg 3.51
La 0.7500 0.2500 0.5000  2 Te 3.15, 4 Mg 3.51
Mg 0.1670 0.6250 0.0420  2 Te 3.00, 2 Mg 3.24
Mg 0.3750 0.4170 0.5420  2 Te 3.00, 2 Mg 3.24
Mg 0.5830 0.1250 0.9580  2 Te 3.00, 2 Mg 3.24
Mg 0.8750 0.8330 0.4580  2 Te 3.00, 2 Mg 3.24
Te 0.2500 0.7500 0.5000  4 Mg 3.00, 2 La 3.15
Te 0.5000 0.5000 0.0000  4 Mg 3.00, 2 La 3.15